(1)
# MnCrOs

A PBEsol-optimized structure of MnCrOs (SCAN, the Alexandria database).

a = 2.6112 Å, b = 2.6112 Å, c = 6.1795 Å
α = 90.00°, β = 90.00°, γ = 120.00°
Space group P3m1 (No. 156)
Symmetry-distinct sites (fractional):
Mn (0.0000, 0.0000, 0.0000) x1
Cr (0.6667, 0.3333, 0.3128) x1
Os (0.3333, 0.6667, 0.6575) x1

Results
excess energy over the best structure of this formula in the dataset	103	meV/atom
N(E_F)	0.92	states/eV per atom
energy of formation from the pure elements	180.2	meV per atom



(2)
# Mn2CrOs

A PBEsol-optimized structure of Mn2CrOs (SCAN, the Alexandria database).

a = 2.832 Å, b = 2.832 Å, c = 5.762 Å
α = 90.00°, β = 90.00°, γ = 90.00°
Space group P4mm (No. 99)
Symmetry-distinct sites (fractional):
Mn (0.000, 0.000, 0.000) x1
Mn (0.500, 0.500, 0.262) x1
Cr (0.500, 0.500, 0.818) x1
Os (0.000, 0.000, 0.521) x1

Results
N(E_F)	0.83	states/eV per atom
energy of formation from the pure elements	67.1	meV per atom



(3)
# MnCr2Os

A PBEsol-optimized structure of MnCr2Os (SCAN, the Alexandria database).

a = 2.812 Å, b = 2.812 Å, c = 5.930 Å
α = 90.00°, β = 90.00°, γ = 90.00°
Space group P4mm (No. 99)
Symmetry-distinct sites (fractional):
Mn (0.000, 0.000, 0.000) x1
Cr (0.000, 0.000, 0.553) x1
Cr (0.500, 0.500, 0.798) x1
Os (0.500, 0.500, 0.294) x1

Results
N(E_F)	0.90	states/eV per atom
energy of formation from the pure elements	86.0	meV per atom



(4)
# Mn2CrOs

A PBEsol-optimized structure of Mn2CrOs (SCAN, the Alexandria database).

a = 3.609 Å, b = 3.609 Å, c = 3.592 Å
α = 90.00°, β = 90.00°, γ = 90.00°
Space group P4/mmm (No. 123)
Symmetry-distinct sites (fractional):
Mn (0.000, 0.500, 0.000) x2
Cr (0.000, 0.000, 0.500) x1
Os (0.500, 0.500, 0.500) x1

Results
N(E_F)	1.02	states/eV per atom
energy of formation from the pure elements	-31.1	meV per atom



(5)
# MnCrOs

A PBEsol-optimized structure of MnCrOs (SCAN, the Alexandria database).

a = 3.9951 Å, b = 3.9951 Å, c = 2.5856 Å
α = 90.00°, β = 90.00°, γ = 120.00°
Space group P-6m2 (No. 187)
Symmetry-distinct sites (fractional):
Mn (0.0000, 0.0000, 0.0000) x1
Cr (0.3333, 0.6667, 0.0000) x1
Os (0.6667, 0.3333, 0.5000) x1

Results
excess energy over the best structure of this formula in the dataset	0	meV/atom
N(E_F)	0.78	states/eV per atom
energy of formation from the pure elements	77.5	meV per atom



(6)
# MnCr2Os

A PBEsol-optimized structure of MnCr2Os (SCAN, the Alexandria database).

a = 3.618 Å, b = 3.618 Å, c = 7.261 Å
α = 90.00°, β = 90.00°, γ = 90.00°
Space group I-4m2 (No. 119)
Symmetry-distinct sites (fractional):
Mn (0.000, 0.000, 0.000) x2
Cr (0.000, 0.000, 0.500) x2
Cr (0.000, 0.500, 0.750) x2
Os (0.000, 0.500, 0.250) x2

Results
N(E_F)	1.06	states/eV per atom
energy of formation from the pure elements	78.7	meV per atom



(7)
# MnCr2Os

A PBEsol-optimized structure of MnCr2Os (SCAN, the Alexandria database).

a = 5.788 Å, b = 5.788 Å, c = 5.788 Å
α = 90.00°, β = 90.00°, γ = 90.00°
Space group F-43m (No. 216)
Symmetry-distinct sites (fractional):
Mn (0.000, 0.000, 0.000) x4
Cr (0.000, 0.000, 0.500) x4
Cr (0.250, 0.250, 0.750) x4
Os (0.250, 0.250, 0.250) x4

Results
N(E_F)	0.60	states/eV per atom
energy of formation from the pure elements	-114.5	meV per atom



(8)
# Mn2CrOs

A PBEsol-optimized structure of Mn2CrOs (SCAN, the Alexandria database).

a = 3.611 Å, b = 3.611 Å, c = 7.165 Å
α = 90.00°, β = 90.00°, γ = 90.00°
Space group I4/mmm (No. 139)
Symmetry-distinct sites (fractional):
Mn (0.000, 0.500, 0.250) x4
Cr (0.000, 0.000, 0.000) x2
Os (0.000, 0.000, 0.500) x2

Results
N(E_F)	1.01	states/eV per atom
energy of formation from the pure elements	-11.4	meV per atom